Below is a relaxed structure of KZn2, with properties calculated at the GGA-PBE level. Values from VASP.

```
&SYSTEM
  ibrav = 0, nat = 6, ntyp = 2
/
ATOMIC_SPECIES
K 39.10 K.upf
Zn 65.41 Zn.upf
CELL_PARAMETERS angstrom
0.000 4.201 4.201
4.201 0.000 4.201
4.201 4.201 0.000
ATOMIC_POSITIONS crystal
K 0.125 0.125 0.125
K 0.875 0.875 0.875
Zn 0.000 0.500 0.500
Zn 0.500 0.000 0.500
Zn 0.500 0.500 0.000
Zn 0.500 0.500 0.500
```

Computed properties:
Total magnetization ... 0.0 μB/cell
Density of states at the Fermi level ... 0.62 states/eV/f.u.
SG ... Fd-3m (227)
DFT formation energy ... 97 meV per atom
E ... -1.119 eV per atom


Below is a relaxed structure of K7Zn6, with properties calculated at the GGA-PBE level. Values from VASP.

```
&SYSTEM
  ibrav = 0, nat = 13, ntyp = 2
/
ATOMIC_SPECIES
K 39.10 K.upf
Zn 65.41 Zn.upf
CELL_PARAMETERS angstrom
4.419 2.551 8.977
-4.419 2.551 8.977
0.000 -5.103 8.977
ATOMIC_POSITIONS crystal
K 0.000 0.000 0.000
K 0.102 0.102 0.536
K 0.102 0.536 0.102
K 0.464 0.898 0.898
K 0.536 0.102 0.102
K 0.898 0.464 0.898
K 0.898 0.898 0.464
Zn 0.147 0.147 0.147
Zn 0.358 0.358 0.358
Zn 0.453 0.453 0.453
Zn 0.547 0.547 0.547
Zn 0.642 0.642 0.642
Zn 0.853 0.853 0.853
```

Computed properties:
Total magnetization ... 0.0 μB/cell
Density of states at the Fermi level ... 8.43 states/eV/f.u.
SG ... R-3m (166)
DFT formation energy ... 336 meV per atom
E ... -0.843 eV per atom


Below is a relaxed structure of KZn2, with properties calculated at the GGA-PBE level. Values from VASP.

```
&SYSTEM
  ibrav = 0, nat = 3, ntyp = 2
/
ATOMIC_SPECIES
K 39.10 K.upf
Zn 65.41 Zn.upf
CELL_PARAMETERS angstrom
4.491 0.000 0.000
-2.246 3.890 0.000
0.000 0.000 5.130
ATOMIC_POSITIONS crystal
K 0.000 0.000 0.000
Zn 0.333 0.667 0.500
Zn 0.667 0.333 0.500
```

Computed properties:
Total magnetization ... 0.0 μB/cell
Density of states at the Fermi level ... 1.78 states/eV/f.u.
SG ... P6/mmm (191)
DFT formation energy ... 98 meV per atom
E ... -1.117 eV per atom


Below is a relaxed structure of KZn, with properties calculated at the GGA-PBE level. Values from VASP.

```
&SYSTEM
  ibrav = 0, nat = 16, ntyp = 2
/
ATOMIC_SPECIES
K 39.10 K.upf
Zn 65.41 Zn.upf
CELL_PARAMETERS angstrom
9.213 0.000 0.000
0.000 8.113 0.000
0.000 0.000 9.176
ATOMIC_POSITIONS crystal
K 0.082 0.250 0.200
K 0.206 0.250 0.687
K 0.294 0.750 0.187
K 0.418 0.750 0.700
K 0.582 0.250 0.300
K 0.706 0.250 0.813
K 0.794 0.750 0.313
K 0.918 0.750 0.800
Zn 0.109 0.593 0.484
Zn 0.109 0.907 0.484
Zn 0.391 0.093 0.984
Zn 0.391 0.407 0.984
Zn 0.609 0.593 0.016
Zn 0.609 0.907 0.016
Zn 0.891 0.093 0.516
Zn 0.891 0.407 0.516
```

Computed properties:
Total magnetization ... 0.0 μB/cell
Density of states at the Fermi level ... 0.83 states/eV/f.u.
SG ... Pnma (62)
DFT formation energy ... 107 meV per atom
E ... -1.079 eV per atom


Below is a relaxed structure of KZn5, with properties calculated at the GGA-PBE level. Values from VASP.

```
&SYSTEM
  ibrav = 0, nat = 6, ntyp = 2
/
ATOMIC_SPECIES
K 39.10 K.upf
Zn 65.41 Zn.upf
CELL_PARAMETERS angstrom
4.229 0.000 0.000
0.000 1.482 9.846
0.000 -1.482 9.846
ATOMIC_POSITIONS crystal
K 0.000 0.000 0.000
Zn 0.000 0.329 0.329
Zn 0.000 0.696 0.696
Zn 0.500 0.236 0.236
Zn 0.500 0.617 0.617
Zn 0.500 0.855 0.855
```

Computed properties:
Total magnetization ... 0.0 μB/cell
Density of states at the Fermi level ... 1.90 states/eV/f.u.
SG ... Amm2 (38)
DFT formation energy ... 99 meV per atom
E ... -1.145 eV per atom


Below is a relaxed structure of KZn2, with properties calculated at the GGA-PBE level. Values from VASP.

```
&SYSTEM
  ibrav = 0, nat = 9, ntyp = 2
/
ATOMIC_SPECIES
K 39.10 K.upf
Zn 65.41 Zn.upf
CELL_PARAMETERS angstrom
8.922 0.000 0.000
-4.461 7.727 0.000
0.000 0.000 4.822
ATOMIC_POSITIONS crystal
K 0.000 0.000 0.000
K 0.333 0.667 0.500
K 0.667 0.333 0.500
Zn 0.000 0.269 0.500
Zn 0.000 0.369 0.000
Zn 0.269 0.000 0.500
Zn 0.369 0.000 0.000
Zn 0.631 0.631 0.000
Zn 0.731 0.731 0.500
```

Computed properties:
Total magnetization ... 0.0 μB/cell
Density of states at the Fermi level ... 1.60 states/eV/f.u.
SG ... P-62m (189)
DFT formation energy ... 308 meV per atom
E ... -0.907 eV per atom


Below is a relaxed structure of KZn, with properties calculated at the GGA-PBE level. Values from VASP.

```
&SYSTEM
  ibrav = 0, nat = 2, ntyp = 2
/
ATOMIC_SPECIES
K 39.10 K.upf
Zn 65.41 Zn.upf
CELL_PARAMETERS angstrom
0.000 3.895 3.895
3.895 0.000 3.895
3.895 3.895 0.000
ATOMIC_POSITIONS crystal
K 0.000 0.000 0.000
Zn 0.250 0.250 0.250
```

Computed properties:
Total magnetization ... 0.6 μB/cell
Density of states at the Fermi level ... 2.25 states/eV/f.u.
SG ... F-43m (216)
DFT formation energy ... 500 meV per atom
E ... -0.686 eV per atom


Below is a relaxed structure of KZn2, with properties calculated at the GGA-PBE level. Values from VASP.

```
&SYSTEM
  ibrav = 0, nat = 6, ntyp = 2
/
ATOMIC_SPECIES
K 39.10 K.upf
Zn 65.41 Zn.upf
CELL_PARAMETERS angstrom
6.391 -2.194 0.000
6.391 2.194 0.000
-3.399 0.000 5.982
ATOMIC_POSITIONS crystal
K 0.106 0.106 0.296
K 0.894 0.894 0.704
Zn 0.215 0.215 0.888
Zn 0.398 0.398 0.310
Zn 0.602 0.602 0.690
Zn 0.785 0.785 0.112
```

Computed properties:
Total magnetization ... 0.0 μB/cell
Density of states at the Fermi level ... 1.26 states/eV/f.u.
SG ... C2/m (12)
DFT formation energy ... 27 meV per atom
E ... -1.188 eV per atom


Below is a relaxed structure of KZn, with properties calculated at the GGA-PBE level. Values from VASP.

```
&SYSTEM
  ibrav = 0, nat = 4, ntyp = 2
/
ATOMIC_SPECIES
K 39.10 K.upf
Zn 65.41 Zn.upf
CELL_PARAMETERS angstrom
0.000 4.021 4.021
4.021 0.000 4.021
4.021 4.021 0.000
ATOMIC_POSITIONS crystal
K 0.125 0.125 0.125
K 0.875 0.875 0.875
Zn 0.375 0.375 0.375
Zn 0.625 0.625 0.625
```

Computed properties:
Total magnetization ... 0.0 μB/cell
Density of states at the Fermi level ... 1.35 states/eV/f.u.
SG ... Fd-3m (227)
DFT formation energy ... 236 meV per atom
E ... -0.950 eV per atom


Below is a relaxed structure of K5Zn, with properties calculated at the GGA-PBE level. Values from VASP.

```
&SYSTEM
  ibrav = 0, nat = 6, ntyp = 2
/
ATOMIC_SPECIES
K 39.10 K.upf
Zn 65.41 Zn.upf
CELL_PARAMETERS angstrom
4.428 0.000 0.000
0.000 4.428 0.000
0.000 0.000 18.114
ATOMIC_POSITIONS crystal
K 0.000 0.000 0.000
K 0.000 0.000 0.389
K 0.000 0.000 0.611
K 0.500 0.500 0.196
K 0.500 0.500 0.804
Zn 0.500 0.500 0.500
```

Computed properties:
Total magnetization ... 0.0 μB/cell
Density of states at the Fermi level ... 4.13 states/eV/f.u.
SG ... P4/mmm (123)
DFT formation energy ... 71 meV per atom
E ... -1.056 eV per atom


Below is a relaxed structure of KZn, with properties calculated at the GGA-PBE level. Values from VASP.

```
&SYSTEM
  ibrav = 0, nat = 2, ntyp = 2
/
ATOMIC_SPECIES
K 39.10 K.upf
Zn 65.41 Zn.upf
CELL_PARAMETERS angstrom
2.103 1.214 5.174
-2.103 1.214 5.174
0.000 -2.428 5.174
ATOMIC_POSITIONS crystal
K 0.000 0.000 0.000
Zn 0.500 0.500 0.500
```

Computed properties:
Total magnetization ... 0.0 μB/cell
Density of states at the Fermi level ... 2.00 states/eV/f.u.
SG ... R-3m (166)
DFT formation energy ... 302 meV per atom
E ... -0.884 eV per atom


Below is a relaxed structure of KZn, with properties calculated at the GGA-PBE level. Values from VASP.

```
&SYSTEM
  ibrav = 0, nat = 4, ntyp = 2
/
ATOMIC_SPECIES
K 39.10 K.upf
Zn 65.41 Zn.upf
CELL_PARAMETERS angstrom
3.679 0.000 0.000
0.000 3.860 0.000
0.000 0.000 9.920
ATOMIC_POSITIONS crystal
K 0.250 0.250 0.203
K 0.750 0.750 0.797
Zn 0.250 0.250 0.539
Zn 0.750 0.750 0.461
```

Computed properties:
Total magnetization ... 0.0 μB/cell
Density of states at the Fermi level ... 0.61 states/eV/f.u.
SG ... Pmmn (59)
DFT formation energy ... 123 meV per atom
E ... -1.063 eV per atom